1.
# Ta3W10 | OQMD | PBE-GGA | relaxed
data_Ta3W10
_chemical_formula_sum 'Ta3 W10'
_symmetry_space_group_name_H-M 'P 1'
_symmetry_Int_Tables_number 1
_cell_length_a 9.964
_cell_length_b 9.964
_cell_length_c 9.964
_cell_angle_alpha 30.32
_cell_angle_beta 30.32
_cell_angle_gamma 30.32
loop_
_symmetry_equiv_pos_as_xyz
'x,y,z'
loop_
_atom_site_label
_atom_site_type_symbol
_atom_site_fract_x
_atom_site_fract_y
_atom_site_fract_z
Ta1 Ta 0.832 0.832 0.832
Ta2 Ta 0.000 0.000 0.000
W1 W 0.909 0.909 0.414
W2 W 0.414 0.909 0.909
W3 W 0.454 0.454 0.454
Ta3 Ta 0.168 0.168 0.168
W4 W 0.349 0.349 0.349
W5 W 0.651 0.651 0.651
W6 W 0.909 0.414 0.909
W7 W 0.091 0.091 0.586
W8 W 0.586 0.091 0.091
W9 W 0.546 0.546 0.546
W10 W 0.091 0.586 0.091
# - ρ: 17.7 g cm⁻³
# - Total moment: 0.0 μB/cell

***

2.
# TaW14 | OQMD | PBE-GGA | relaxed
data_TaW14
_chemical_formula_sum 'Ta2 W28'
_symmetry_space_group_name_H-M 'P 1'
_symmetry_Int_Tables_number 1
_cell_length_a 9.817
_cell_length_b 9.817
_cell_length_c 5.154
_cell_angle_alpha 90.00
_cell_angle_beta 90.00
_cell_angle_gamma 90.00
loop_
_symmetry_equiv_pos_as_xyz
'x,y,z'
loop_
_atom_site_label
_atom_site_type_symbol
_atom_site_fract_x
_atom_site_fract_y
_atom_site_fract_z
W1 W 0.187 0.187 0.749
W2 W 0.313 0.687 0.249
W3 W 0.438 0.239 0.500
W4 W 0.687 0.313 0.249
W5 W 0.313 0.687 0.751
W6 W 0.938 0.261 0.000
W7 W 0.239 0.438 0.500
W8 W 0.261 0.938 0.000
W9 W 0.533 0.869 0.000
W10 W 0.400 0.400 0.000
W11 W 0.631 0.033 0.500
W12 W 0.062 0.739 0.000
W13 W 0.761 0.562 0.500
W14 W 0.467 0.131 0.000
W15 W 0.369 0.967 0.500
W16 W 0.687 0.313 0.751
W17 W 0.600 0.600 0.000
W18 W 0.900 0.100 0.500
Ta1 Ta 0.500 0.500 0.500
W19 W 0.869 0.533 0.000
W20 W 0.739 0.062 0.000
W21 W 0.033 0.631 0.500
W22 W 0.131 0.467 0.000
W23 W 0.187 0.187 0.251
W24 W 0.813 0.813 0.749
Ta2 Ta 0.000 0.000 0.000
W25 W 0.813 0.813 0.251
W26 W 0.967 0.369 0.500
W27 W 0.100 0.900 0.500
W28 W 0.562 0.761 0.500
# - ρ: 18.4 g cm⁻³
# - Total moment: 0.0 μB/cell

***

3.
# TaW2 | OQMD | PBE-GGA | relaxed
data_TaW2
_chemical_formula_sum 'Ta1 W2'
_symmetry_space_group_name_H-M 'P 1'
_symmetry_Int_Tables_number 1
_cell_length_a 5.358
_cell_length_b 5.357
_cell_length_c 3.213
_cell_angle_alpha 72.56
_cell_angle_beta 72.53
_cell_angle_gamma 34.91
loop_
_symmetry_equiv_pos_as_xyz
'x,y,z'
loop_
_atom_site_label
_atom_site_type_symbol
_atom_site_fract_x
_atom_site_fract_y
_atom_site_fract_z
Ta1 Ta 0.500 0.500 0.500
W1 W 0.830 0.830 0.170
W2 W 0.170 0.170 0.830
# - ρ: 18.2 g cm⁻³
# - Total moment: 0.0 μB/cell

***

4.
# YTa2W | OQMD | PBE-GGA | relaxed
data_YTa2W
_chemical_formula_sum 'Y1 Ta2 W1'
_symmetry_space_group_name_H-M 'P 1'
_symmetry_Int_Tables_number 1
_cell_length_a 4.796
_cell_length_b 4.796
_cell_length_c 4.796
_cell_angle_alpha 60.00
_cell_angle_beta 60.00
_cell_angle_gamma 60.00
loop_
_symmetry_equiv_pos_as_xyz
'x,y,z'
loop_
_atom_site_label
_atom_site_type_symbol
_atom_site_fract_x
_atom_site_fract_y
_atom_site_fract_z
Ta1 Ta 0.250 0.250 0.250
W1 W 0.750 0.750 0.750
Ta2 Ta 0.000 0.000 0.000
Y1 Y 0.500 0.500 0.500
# - ρ: 13.5 g cm⁻³
# - Total moment: 0.0 μB/cell

***

5.
# ZrTaW6 | OQMD | PBE-GGA | relaxed
data_ZrTaW6
_chemical_formula_sum 'Zr1 Ta1 W6'
_symmetry_space_group_name_H-M 'P 1'
_symmetry_Int_Tables_number 1
_cell_length_a 4.566
_cell_length_b 4.566
_cell_length_c 6.465
_cell_angle_alpha 90.00
_cell_angle_beta 90.00
_cell_angle_gamma 90.00
loop_
_symmetry_equiv_pos_as_xyz
'x,y,z'
loop_
_atom_site_label
_atom_site_type_symbol
_atom_site_fract_x
_atom_site_fract_y
_atom_site_fract_z
W1 W 0.500 0.000 0.746
W2 W 0.500 0.000 0.254
Ta1 Ta 0.000 0.000 0.500
Zr1 Zr 0.500 0.500 0.000
W3 W 0.000 0.000 0.000
W4 W 0.500 0.500 0.500
W5 W 0.000 0.500 0.254
W6 W 0.000 0.500 0.746
# - ρ: 16.9 g cm⁻³
# - Total moment: 0.0 μB/cell

***

6.
# YTa | OQMD | PBE-GGA | relaxed
data_YTa
_chemical_formula_sum 'Y1 Ta1'
_symmetry_space_group_name_H-M 'P 1'
_symmetry_Int_Tables_number 1
_cell_length_a 3.185
_cell_length_b 3.185
_cell_length_c 5.290
_cell_angle_alpha 90.00
_cell_angle_beta 90.00
_cell_angle_gamma 120.00
loop_
_symmetry_equiv_pos_as_xyz
'x,y,z'
loop_
_atom_site_label
_atom_site_type_symbol
_atom_site_fract_x
_atom_site_fract_y
_atom_site_fract_z
Y1 Y 0.333 0.667 0.250
Ta1 Ta 0.667 0.333 0.750
# - ρ: 9.6 g cm⁻³
# - Total moment: 0.0 μB/cell

***

7.
# Y2Ta | OQMD | PBE-GGA | relaxed
data_Y2Ta
_chemical_formula_sum 'Y4 Ta2'
_symmetry_space_group_name_H-M 'P 1'
_symmetry_Int_Tables_number 1
_cell_length_a 6.007
_cell_length_b 6.007
_cell_length_c 6.007
_cell_angle_alpha 60.00
_cell_angle_beta 60.00
_cell_angle_gamma 60.00
loop_
_symmetry_equiv_pos_as_xyz
'x,y,z'
loop_
_atom_site_label
_atom_site_type_symbol
_atom_site_fract_x
_atom_site_fract_y
_atom_site_fract_z
Y1 Y 0.625 0.125 0.625
Y2 Y 0.125 0.625 0.625
Y3 Y 0.625 0.625 0.125
Ta1 Ta 0.000 0.000 0.000
Ta2 Ta 0.250 0.250 0.250
Y4 Y 0.625 0.625 0.625
# - ρ: 7.8 g cm⁻³
# - Total moment: 0.1 μB/cell

***

8.
# Y2Ta | OQMD | PBE-GGA | relaxed
data_Y2Ta
_chemical_formula_sum 'Y4 Ta2'
_symmetry_space_group_name_H-M 'P 1'
_symmetry_Int_Tables_number 1
_cell_length_a 8.373
_cell_length_b 8.373
_cell_length_c 8.373
_cell_angle_alpha 60.00
_cell_angle_beta 60.00
_cell_angle_gamma 60.00
loop_
_symmetry_equiv_pos_as_xyz
'x,y,z'
loop_
_atom_site_label
_atom_site_type_symbol
_atom_site_fract_x
_atom_site_fract_y
_atom_site_fract_z
Y1 Y 0.375 0.375 0.875
Ta1 Ta 0.500 0.500 0.500
Y2 Y 0.375 0.875 0.375
Ta2 Ta 0.250 0.250 0.250
Y3 Y 0.375 0.375 0.375
Y4 Y 0.875 0.375 0.375
# - ρ: 2.9 g cm⁻³
# - Total moment: 0.0 μB/cell

***

9.
# YTa | OQMD | PBE-GGA | relaxed
data_YTa
_chemical_formula_sum 'Y1 Ta1'
_symmetry_space_group_name_H-M 'P 1'
_symmetry_Int_Tables_number 1
_cell_length_a 4.728
_cell_length_b 4.728
_cell_length_c 4.728
_cell_angle_alpha 60.00
_cell_angle_beta 60.00
_cell_angle_gamma 60.00
loop_
_symmetry_equiv_pos_as_xyz
'x,y,z'
loop_
_atom_site_label
_atom_site_type_symbol
_atom_site_fract_x
_atom_site_fract_y
_atom_site_fract_z
Y1 Y 0.250 0.250 0.250
Ta1 Ta 0.000 0.000 0.000
# - ρ: 6.0 g cm⁻³
# - Total moment: 2.9 μB/cell

***

10.
# Y2TaZn | OQMD | PBE-GGA | relaxed
data_Y2TaZn
_chemical_formula_sum 'Y2 Ta1 Zn1'
_symmetry_space_group_name_H-M 'P 1'
_symmetry_Int_Tables_number 1
_cell_length_a 5.013
_cell_length_b 5.013
_cell_length_c 5.013
_cell_angle_alpha 60.00
_cell_angle_beta 60.00
_cell_angle_gamma 60.00
loop_
_symmetry_equiv_pos_as_xyz
'x,y,z'
loop_
_atom_site_label
_atom_site_type_symbol
_atom_site_fract_x
_atom_site_fract_y
_atom_site_fract_z
Ta1 Ta 0.750 0.750 0.750
Zn1 Zn 0.500 0.500 0.500
Y1 Y 0.250 0.250 0.250
Y2 Y 0.000 0.000 0.000
# - ρ: 7.9 g cm⁻³
# - Total moment: 0.0 μB/cell

***

11.
# YZrTa | OQMD | PBE-GGA | relaxed
data_YZrTa
_chemical_formula_sum 'Y1 Zr1 Ta1'
_symmetry_space_group_name_H-M 'P 1'
_symmetry_Int_Tables_number 1
_cell_length_a 4.826
_cell_length_b 4.826
_cell_length_c 4.826
_cell_angle_alpha 60.00
_cell_angle_beta 60.00
_cell_angle_gamma 60.00
loop_
_symmetry_equiv_pos_as_xyz
'x,y,z'
loop_
_atom_site_label
_atom_site_type_symbol
_atom_site_fract_x
_atom_site_fract_y
_atom_site_fract_z
Y1 Y 0.250 0.250 0.250
Zr1 Zr 0.750 0.750 0.750
Ta1 Ta 0.000 0.000 0.000
# - ρ: 7.5 g cm⁻³
# - Total moment: 0.0 μB/cell

***

12.
# TaZn | OQMD | PBE-GGA | relaxed
data_TaZn
_chemical_formula_sum 'Ta6 Zn6'
_symmetry_space_group_name_H-M 'P 1'
_symmetry_Int_Tables_number 1
_cell_length_a 5.678
_cell_length_b 8.395
_cell_length_c 4.111
_cell_angle_alpha 90.00
_cell_angle_beta 90.00
_cell_angle_gamma 90.00
loop_
_symmetry_equiv_pos_as_xyz
'x,y,z'
loop_
_atom_site_label
_atom_site_type_symbol
_atom_site_fract_x
_atom_site_fract_y
_atom_site_fract_z
Ta1 Ta 0.037 0.596 0.000
Ta2 Ta 0.537 0.237 0.000
Zn1 Zn 0.032 0.254 0.000
Zn2 Zn 0.290 0.073 0.500
Ta3 Ta 0.284 0.403 0.500
Zn3 Zn 0.068 0.934 0.000
Zn4 Zn 0.790 0.760 0.500
Ta4 Ta 0.784 0.430 0.500
Ta5 Ta 0.290 0.745 0.500
Ta6 Ta 0.790 0.088 0.500
Zn5 Zn 0.532 0.580 0.000
Zn6 Zn 0.568 0.899 0.000
# - ρ: 12.5 g cm⁻³
# - Total moment: 0.0 μB/cell

***

| no. | formation energy from the elements (eV/atom) |
| --- | --- |
| 1 | 0.2360 |
| 2 | 0.1749 |
| 3 | -0.1154 |
| 4 | 0.4679 |
| 5 | -0.0025 |
| 6 | 0.5081 |
| 7 | 1.0394 |
| 8 | 2.4830 |
| 9 | 2.8660 |
| 10 | 0.4026 |
| 11 | 0.8930 |
| 12 | 0.0344 |